Model 1:
! VAgC3, optimized geometry, DFT PBE-GGA; values from VASP
! DOS(E_F) (states/eV/atom): 0.475
&SYSTEM
  ibrav = 0, nat = 5, ntyp = 3
/
ATOMIC_SPECIES
C 12.01 C.upf
Ag 107.87 Ag.upf
V 50.94 V.upf
ATOMIC_POSITIONS angstrom
C 0.000 1.974 0.000
C 1.974 0.000 0.000
Ag 1.974 1.974 1.974
V 0.000 0.000 0.000
C 0.000 0.000 1.974
CELL_PARAMETERS angstrom
3.948 0.000 0.000
0.000 3.948 0.000
0.000 0.000 3.948

---

Model 2:
! VAgC3, optimized geometry, DFT PBE-GGA; values from VASP
! DOS(E_F) (states/eV/atom): 1.101
&SYSTEM
  ibrav = 0, nat = 5, ntyp = 3
/
ATOMIC_SPECIES
C 12.01 C.upf
Ag 107.87 Ag.upf
V 50.94 V.upf
ATOMIC_POSITIONS angstrom
C 2.035 0.000 0.000
Ag 0.000 0.000 0.000
C 0.000 2.035 0.000
C 0.000 0.000 2.035
V 2.035 2.035 2.035
CELL_PARAMETERS angstrom
4.070 0.000 0.000
0.000 4.070 0.000
0.000 0.000 4.070

---

Decreasing stability: model 1, model 2

---

Model 1:
! VAg3C, optimized geometry, DFT PBE-GGA; values from VASP
! DOS(E_F) (states/eV/atom): 1.057
&SYSTEM
  ibrav = 0, nat = 5, ntyp = 3
/
ATOMIC_SPECIES
Ag 107.87 Ag.upf
V 50.94 V.upf
C 12.01 C.upf
ATOMIC_POSITIONS angstrom
Ag -0.854 0.648 1.883
Ag -1.551 -1.500 -0.188
V -3.653 0.569 0.640
C 0.000 0.000 0.000
Ag -1.248 1.422 -1.055
CELL_PARAMETERS angstrom
-2.496 2.844 -2.110
-3.103 -3.001 -0.375
-1.708 1.295 3.765

---

Model 2:
! VAg3C, optimized geometry, DFT PBE-GGA; values from VASP
! DOS(E_F) (states/eV/atom): 1.180
&SYSTEM
  ibrav = 0, nat = 5, ntyp = 3
/
ATOMIC_SPECIES
Ag 107.87 Ag.upf
V 50.94 V.upf
C 12.01 C.upf
ATOMIC_POSITIONS angstrom
Ag 0.000 0.000 2.506
V 0.000 0.000 0.000
Ag 0.000 2.506 0.000
C 2.506 2.506 2.506
Ag 2.506 0.000 0.000
CELL_PARAMETERS angstrom
5.013 0.000 0.000
0.000 5.013 0.000
0.000 0.000 5.013

---

Decreasing stability: model 1, model 2

---

Model 1:
! Ag3WC, optimized geometry, DFT PBE-GGA; values from VASP
! DOS(E_F) (states/eV/atom): 1.295
&SYSTEM
  ibrav = 0, nat = 5, ntyp = 3
/
ATOMIC_SPECIES
Ag 107.87 Ag.upf
W 183.84 W.upf
C 12.01 C.upf
ATOMIC_POSITIONS angstrom
Ag -1.047 1.477 -1.815
Ag -0.730 -2.095 -1.284
Ag -2.223 -0.007 1.276
W 0.000 0.000 0.000
C -4.000 -0.625 -1.822
CELL_PARAMETERS angstrom
-2.093 2.954 -3.629
-1.461 -4.190 -2.568
-4.446 -0.014 2.552

---

Model 2:
! Ag3WC, optimized geometry, DFT PBE-GGA; values from VASP
! DOS(E_F) (states/eV/atom): 0.819
&SYSTEM
  ibrav = 0, nat = 5, ntyp = 3
/
ATOMIC_SPECIES
Ag 107.87 Ag.upf
W 183.84 W.upf
C 12.01 C.upf
ATOMIC_POSITIONS angstrom
Ag -1.790 -0.618 0.999
Ag 0.976 0.231 1.891
Ag -0.654 2.036 0.089
W -1.468 1.649 2.979
C 0.000 0.000 0.000
CELL_PARAMETERS angstrom
-1.308 4.073 0.178
-3.579 -1.237 1.997
1.952 0.461 3.783

---

Decreasing stability: model 2, model 1

---

Model 1:
! AgW3C, optimized geometry, DFT PBE-GGA; values from VASP
! DOS(E_F) (states/eV/atom): 0.766
&SYSTEM
  ibrav = 0, nat = 5, ntyp = 3
/
ATOMIC_SPECIES
Ag 107.87 Ag.upf
W 183.84 W.upf
C 12.01 C.upf
ATOMIC_POSITIONS angstrom
Ag -0.953 -2.042 2.836
W -1.551 -1.403 0.011
C 0.000 0.000 0.000
W -0.647 0.729 1.850
W 1.245 -1.369 0.975
CELL_PARAMETERS angstrom
-1.293 1.459 3.700
-3.102 -2.805 0.022
2.489 -2.738 1.950

---

Model 2:
! AgW3C, optimized geometry, DFT PBE-GGA; values from VASP
! DOS(E_F) (states/eV/atom): 0.863
&SYSTEM
  ibrav = 0, nat = 5, ntyp = 3
/
ATOMIC_SPECIES
W 183.84 W.upf
C 12.01 C.upf
Ag 107.87 Ag.upf
ATOMIC_POSITIONS angstrom
W -0.737 1.998 1.079
W -1.661 -1.248 1.176
C -0.850 0.362 4.030
W 1.548 -0.387 1.775
Ag 0.000 0.000 0.000
CELL_PARAMETERS angstrom
-3.321 -2.496 2.352
3.097 -0.775 3.550
-1.475 3.995 2.158

---

Decreasing stability: model 1, model 2

---

Model 1:
! ZnAgC3, optimized geometry, DFT PBE-GGA; values from VASP
! DOS(E_F) (states/eV/atom): 0.886
&SYSTEM
  ibrav = 0, nat = 5, ntyp = 3
/
ATOMIC_SPECIES
C 12.01 C.upf
Zn 65.41 Zn.upf
Ag 107.87 Ag.upf
ATOMIC_POSITIONS angstrom
C 0.000 0.000 2.090
C 2.090 0.000 0.000
C 0.000 2.090 0.000
Zn 2.090 2.090 2.090
Ag 0.000 0.000 0.000
CELL_PARAMETERS angstrom
4.180 0.000 0.000
0.000 4.180 0.000
0.000 0.000 4.180

---

Model 2:
! ZnAgC3, optimized geometry, DFT PBE-GGA; values from VASP
! DOS(E_F) (states/eV/atom): 0.541
&SYSTEM
  ibrav = 0, nat = 5, ntyp = 3
/
ATOMIC_SPECIES
Ag 107.87 Ag.upf
C 12.01 C.upf
Zn 65.41 Zn.upf
ATOMIC_POSITIONS angstrom
Ag 1.999 1.999 1.999
C 0.000 1.999 0.000
C 0.000 0.000 1.999
C 1.999 0.000 0.000
Zn 0.000 0.000 0.000
CELL_PARAMETERS angstrom
3.999 0.000 0.000
0.000 3.999 0.000
0.000 0.000 3.999

---

Decreasing stability: model 2, model 1

---

Model 1:
! Zn3AgC, optimized geometry, DFT PBE-GGA; values from VASP
! DOS(E_F) (states/eV/atom): 0.424
&SYSTEM
  ibrav = 0, nat = 5, ntyp = 3
/
ATOMIC_SPECIES
Zn 65.41 Zn.upf
Ag 107.87 Ag.upf
C 12.01 C.upf
ATOMIC_POSITIONS angstrom
Zn 0.000 2.093 0.000
Ag 2.093 2.093 2.093
Zn 0.000 0.000 2.093
C 0.000 0.000 0.000
Zn 2.093 0.000 0.000
CELL_PARAMETERS angstrom
4.187 0.000 0.000
0.000 4.187 0.000
0.000 0.000 4.187

---

Model 2:
! Zn3AgC, optimized geometry, DFT PBE-GGA; values from VASP
! DOS(E_F) (states/eV/atom): 0.571
&SYSTEM
  ibrav = 0, nat = 5, ntyp = 3
/
ATOMIC_SPECIES
Zn 65.41 Zn.upf
C 12.01 C.upf
Ag 107.87 Ag.upf
ATOMIC_POSITIONS angstrom
Zn -0.140 -1.969 -1.479
C 2.697 -3.313 0.042
Zn 0.409 -1.479 1.931
Zn 2.428 0.135 -0.411
Ag 0.000 0.000 0.000
CELL_PARAMETERS angstrom
-0.281 -3.939 -2.957
4.857 0.271 -0.821
0.818 -2.958 3.862

---

Decreasing stability: model 1, model 2

---

Model 1:
! Ca3Ag, optimized geometry, DFT PBE-GGA; values from VASP
! DOS(E_F) (states/eV/atom): 0.870
&SYSTEM
  ibrav = 0, nat = 8, ntyp = 2
/
ATOMIC_SPECIES
Ca 40.08 Ca.upf
Ag 107.87 Ag.upf
ATOMIC_POSITIONS angstrom
Ca 1.085 -1.991 -1.419
Ca 2.469 -5.607 -1.465
Ca -0.363 -5.181 -3.852
Ca 5.093 -7.881 -3.017
Ag 2.816 -6.301 -4.522
Ca 1.021 -8.796 -3.898
Ag -0.710 -4.487 -0.795
Ca -2.987 -2.906 -2.300
CELL_PARAMETERS angstrom
-0.165 -2.445 3.303
-4.678 -2.318 -4.510
6.949 -6.025 -4.111

---

Model 2:
! Ca3Ag, optimized geometry, DFT PBE-GGA; values from VASP
! DOS(E_F) (states/eV/atom): 1.108
&SYSTEM
  ibrav = 0, nat = 4, ntyp = 2
/
ATOMIC_SPECIES
Ca 40.08 Ca.upf
Ag 107.87 Ag.upf
ATOMIC_POSITIONS angstrom
Ca 0.000 2.525 2.525
Ag 0.000 0.000 0.000
Ca 2.525 0.000 2.525
Ca 2.525 2.525 0.000
CELL_PARAMETERS angstrom
5.049 0.000 0.000
0.000 5.049 0.000
0.000 0.000 5.049

---

Decreasing stability: model 1, model 2

---

Model 1:
! Ca3Ag, optimized geometry, DFT PBE-GGA; values from VASP
! DOS(E_F) (states/eV/atom): 0.820
&SYSTEM
  ibrav = 0, nat = 4, ntyp = 2
/
ATOMIC_SPECIES
Ca 40.08 Ca.upf
Ag 107.87 Ag.upf
ATOMIC_POSITIONS angstrom
Ca 0.000 0.000 5.284
Ca 1.976 1.141 2.078
Ag 0.000 0.000 0.000
Ca 1.976 1.141 8.489
CELL_PARAMETERS angstrom
3.951 0.000 0.000
-1.976 3.422 0.000
0.000 0.000 10.567

---

Model 2:
! Ca3Ag, optimized geometry, DFT PBE-GGA; values from VASP
! DOS(E_F) (states/eV/atom): 1.004
&SYSTEM
  ibrav = 0, nat = 8, ntyp = 2
/
ATOMIC_SPECIES
Ca 40.08 Ca.upf
Ag 107.87 Ag.upf
ATOMIC_POSITIONS angstrom
Ca -2.765 -2.572 4.366
Ag -3.042 0.994 4.530
Ca -4.916 2.411 1.829
Ca -0.193 -0.893 3.462
Ca -3.354 -0.316 1.213
Ca -1.016 2.699 2.121
Ca 0.078 2.646 5.130
Ag 0.000 0.000 0.000
CELL_PARAMETERS angstrom
-3.125 5.453 1.233
-5.145 -3.358 1.809
2.187 -0.108 6.019

---

Decreasing stability: model 1, model 2

---

Model 1:
! Ca3Ag, optimized geometry, DFT PBE-GGA; values from VASP
! DOS(E_F) (states/eV/atom): 1.008
&SYSTEM
  ibrav = 0, nat = 4, ntyp = 2
/
ATOMIC_SPECIES
Ca 40.08 Ca.upf
Ag 107.87 Ag.upf
ATOMIC_POSITIONS angstrom
Ca 2.323 7.455 1.043
Ca 0.782 1.289 2.592
Ag 4.488 8.937 -0.524
Ca 3.389 3.651 0.973
CELL_PARAMETERS angstrom
-2.202 1.275 2.886
2.542 -1.133 2.440
4.561 9.082 -0.533

---

Model 2:
! Ca3Ag, optimized geometry, DFT PBE-GGA; values from VASP
! DOS(E_F) (states/eV/atom): 0.863
&SYSTEM
  ibrav = 0, nat = 4, ntyp = 2
/
ATOMIC_SPECIES
Ag 107.87 Ag.upf
Ca 40.08 Ca.upf
ATOMIC_POSITIONS angstrom
Ag 0.000 0.000 0.000
Ca 1.865 -2.162 0.695
Ca -2.021 -1.169 1.785
Ca -1.037 -1.611 -2.229
CELL_PARAMETERS angstrom
-4.042 -2.338 3.571
-2.074 -3.223 -4.457
3.730 -4.325 1.391

---

Model 3:
! Ca3Ag, optimized geometry, DFT PBE-GGA; values from VASP
! DOS(E_F) (states/eV/atom): 0.827
&SYSTEM
  ibrav = 0, nat = 32, ntyp = 2
/
ATOMIC_SPECIES
Ca 40.08 Ca.upf
Ag 107.87 Ag.upf
ATOMIC_POSITIONS angstrom
Ca 2.883 11.540 1.944
Ag 0.300 1.772 5.431
Ca 8.819 4.617 4.113
Ag 8.270 5.747 7.199
Ag 6.521 2.277 4.404
Ca 5.403 4.299 6.804
Ca 1.599 8.681 4.522
Ca 13.303 8.915 4.768
Ca 11.488 5.220 7.110
Ag 11.161 10.206 7.067
Ca 6.086 7.654 5.638
Ca 9.694 8.020 5.271
Ca 5.451 0.242 6.718
Ca 0.610 5.047 5.732
Ca 1.599 5.296 2.134
Ag 3.486 5.966 4.710
Ca 8.570 2.396 6.992
Ca 0.877 0.617 2.288
Ca 4.878 0.022 2.621
Ca 9.737 7.933 8.996
Ca 7.370 10.513 3.060
Ca 3.176 2.691 4.409
Ag 7.632 7.281 2.709
Ca 4.468 8.163 2.350
Ca 8.797 4.256 10.108
Ca 8.369 -0.319 4.448
Ca 10.634 8.312 1.771
Ca 8.845 0.199 10.021
Ag 10.418 -0.200 7.037
Ca 7.192 8.610 -0.153
Ca 5.600 4.701 2.467
Ag 4.029 9.492 -0.513
CELL_PARAMETERS angstrom
-2.691 2.421 5.385
10.462 -3.241 6.685
5.183 11.455 -2.559

---

Decreasing stability: model 3, model 1, model 2

---

Model 1:
! Ca3Ag, optimized geometry, DFT PBE-GGA; values from VASP
! DOS(E_F) (states/eV/atom): 1.039
&SYSTEM
  ibrav = 0, nat = 8, ntyp = 2
/
ATOMIC_SPECIES
Ca 40.08 Ca.upf
Ag 107.87 Ag.upf
ATOMIC_POSITIONS angstrom
Ca -3.323 2.688 2.203
Ag -3.505 4.790 -0.699
Ag -4.372 -0.070 0.316
Ca -6.068 0.832 3.246
Ca -1.809 3.888 -3.629
Ca -4.554 2.031 -2.586
Ca -6.305 2.849 0.427
Ca -1.572 1.870 -0.810
CELL_PARAMETERS angstrom
-0.488 4.166 -5.820
-5.669 -3.834 2.153
-1.720 4.387 3.284

---

Model 2:
! Ca3Ag, optimized geometry, DFT PBE-GGA; values from VASP
! DOS(E_F) (states/eV/atom): 0.917
&SYSTEM
  ibrav = 0, nat = 4, ntyp = 2
/
ATOMIC_SPECIES
Ca 40.08 Ca.upf
Ag 107.87 Ag.upf
ATOMIC_POSITIONS angstrom
Ca -7.597 -3.442 -0.312
Ag 0.000 0.000 0.000
Ca -14.031 -6.357 -0.576
Ca -20.465 -9.271 -0.840
CELL_PARAMETERS angstrom
-9.695 -3.294 -2.502
-8.397 -6.368 -0.190
-9.971 -3.051 1.541

---

Model 3:
! Ca3Ag, optimized geometry, DFT PBE-GGA; values from VASP
! DOS(E_F) (states/eV/atom): 0.809
&SYSTEM
  ibrav = 0, nat = 8, ntyp = 2
/
ATOMIC_SPECIES
Ca 40.08 Ca.upf
Ag 107.87 Ag.upf
ATOMIC_POSITIONS angstrom
Ca -2.770 -5.638 -3.397
Ca -1.084 -3.336 -0.797
Ca -4.524 -1.432 -0.252
Ca 0.033 -7.002 -1.140
Ca -6.210 -3.734 -2.852
Ag -4.589 -1.069 -3.397
Ca -7.326 -0.068 -2.509
Ag -2.705 -6.001 -0.252
CELL_PARAMETERS angstrom
-5.933 1.913 -5.167
1.628 -7.793 -1.474
-2.988 -1.190 2.991

---

Decreasing stability: model 3, model 2, model 1

---

Model 1:
! Ca3Ag, optimized geometry, DFT PBE-GGA; values from VASP
! DOS(E_F) (states/eV/atom): 0.940
&SYSTEM
  ibrav = 0, nat = 4, ntyp = 2
/
ATOMIC_SPECIES
Ca 40.08 Ca.upf
Ag 107.87 Ag.upf
ATOMIC_POSITIONS angstrom
Ca 4.980 2.495 0.348
Ca 1.668 1.475 2.100
Ca 4.641 -1.080 2.133
Ag 2.816 -4.453 3.312
CELL_PARAMETERS angstrom
6.688 -0.205 0.034
2.680 6.131 -0.034
-3.799 -4.362 3.364

---

Model 2:
! Ca3Ag, optimized geometry, DFT PBE-GGA; values from VASP
! DOS(E_F) (states/eV/atom): 0.939
&SYSTEM
  ibrav = 0, nat = 4, ntyp = 2
/
ATOMIC_SPECIES
Ca 40.08 Ca.upf
Ag 107.87 Ag.upf
ATOMIC_POSITIONS angstrom
Ca 3.219 0.011 1.738
Ca 4.550 2.942 0.000
Ag 0.000 0.000 0.000
Ca 1.331 2.931 1.738
CELL_PARAMETERS angstrom
6.438 0.023 0.000
2.663 5.861 0.000
-4.550 -2.942 3.476

---

Decreasing stability: model 1, model 2

---

Model 1:
! Ca3Ag, optimized geometry, DFT PBE-GGA; values from VASP
! DOS(E_F) (states/eV/atom): 1.213
&SYSTEM
  ibrav = 0, nat = 4, ntyp = 2
/
ATOMIC_SPECIES
Ca 40.08 Ca.upf
Ag 107.87 Ag.upf
ATOMIC_POSITIONS angstrom
Ca 8.485 4.899 3.464
Ca 2.828 1.633 1.155
Ag 0.000 0.000 0.000
Ca 5.657 3.266 2.309
CELL_PARAMETERS angstrom
5.657 0.000 0.000
2.828 4.899 0.000
2.828 1.633 4.619

---

Model 2:
! Ca3Ag, optimized geometry, DFT PBE-GGA; values from VASP
! DOS(E_F) (states/eV/atom): 0.842
&SYSTEM
  ibrav = 0, nat = 16, ntyp = 2
/
ATOMIC_SPECIES
Ca 40.08 Ca.upf
Ag 107.87 Ag.upf
ATOMIC_POSITIONS angstrom
Ca 6.961 -9.613 -3.287
Ca 5.906 -3.636 -4.460
Ca 4.653 -5.542 2.337
Ca 2.566 -6.790 -1.098
Ca 6.433 -6.123 -1.523
Ag 7.589 -6.672 -4.310
Ag 3.942 -9.250 -2.564
Ca 4.485 -7.137 -4.801
Ca 5.042 -9.266 0.417
Ca 3.819 -4.884 -7.894
Ca 1.511 -0.813 -2.270
Ca 3.430 -1.160 -5.974
Ca 3.987 -3.289 -0.756
Ag 0.883 -3.754 -1.247
Ca 2.039 -4.303 -4.034
Ag 4.530 -1.176 -2.994
CELL_PARAMETERS angstrom
-3.005 -5.086 -3.403
4.950 1.189 -6.148
6.528 -6.529 3.993

---

Decreasing stability: model 2, model 1